Computed, not measured: a relaxed structure of CsLi2Cd2Cl7 at the PBE-GGA level of DFT.

Values from the calculation:
Electronic total energy in eV per atom: -3.0915
Mass density in g/cm3: 3.4
DOS(E_F) in states/eV/f.u.: 0.00

Unit cell a=5.3390 b=5.3401 c=11.2241 alpha=103.77 beta=103.76 gamma=90.00
Last column: nearest neighbours and their distance in Å.
Fractional coordinates of all 12 atoms:
1 Cs 0.0000 0.0000 0.0000  12 Cl 3.78-3.79
2 Li 0.2501 0.7501 0.5002  6 Cl 2.59-2.67
3 Li 0.7499 0.2496 0.4998  6 Cl 2.59-2.67
4 Cd 0.3759 0.3764 0.7518  6 Cl 2.58-2.67
5 Cd 0.6241 0.6235 0.2482  6 Cl 2.58-2.67
6 Cl 0.3727 0.8729 0.7453  1 Li 2.59, 2 Cd 2.67
7 Cl 0.7462 0.7462 0.4925  1 Cd 2.58, 4 Li 2.67
8 Cl 0.1274 0.6274 0.2548  1 Li 2.59, 2 Cd 2.67
9 Cl 0.6273 0.1270 0.2547  1 Li 2.59, 2 Cd 2.67
10 Cl 0.2538 0.2538 0.5075  1 Cd 2.58, 4 Li 2.67
11 Cl 0.8726 0.3726 0.7452  1 Li 2.59, 2 Cd 2.67
12 Cl 0.5000 0.5001 0.0000  2 Cd 2.62